A.
Material: Cu13Au2
Method: DFT, GGA-PBE
State: relaxed

Symmetry: No. 166
Theoretical density in g/cm3: 8.2

Unit cell a=7.2449 b=7.2449 c=7.2449 alpha=56.27 beta=56.27 gamma=56.27
Atoms (fractional coordinates):
Cu (0.0000, 0.0000, 0.0000)
Cu (0.0124, 0.0124, 0.6534)
Cu (0.0124, 0.6534, 0.0124)
Cu (0.2314, 0.2314, 0.6044)
Cu (0.2314, 0.6044, 0.2314)
Cu (0.3466, 0.9876, 0.9876)
Cu (0.3956, 0.7686, 0.7686)
Cu (0.6044, 0.2314, 0.2314)
Cu (0.6534, 0.0124, 0.0124)
Cu (0.7686, 0.3956, 0.7686)
Cu (0.7686, 0.7686, 0.3956)
Cu (0.9876, 0.3466, 0.9876)
Cu (0.9876, 0.9876, 0.3466)
Au (0.2335, 0.2335, 0.2335)
Au (0.7665, 0.7665, 0.7665)

***

B.
Material: Cu13Au2
Method: DFT, GGA-PBE
State: relaxed

Symmetry: No. 2
Theoretical density in g/cm3: 10.5

Unit cell a=5.8667 b=5.9210 c=6.4287 alpha=68.21 beta=68.62 gamma=84.30
Atoms (fractional coordinates):
Cu (0.0000, 0.0000, 0.0000)
Cu (0.0698, 0.7474, 0.3941)
Cu (0.2043, 0.1919, 0.2033)
Cu (0.2699, 0.9407, 0.5982)
Cu (0.3428, 0.6744, 0.9995)
Cu (0.3936, 0.3931, 0.3920)
Cu (0.4743, 0.1273, 0.7970)
Cu (0.5257, 0.8727, 0.2030)
Cu (0.6064, 0.6069, 0.6080)
Cu (0.6572, 0.3256, 0.0005)
Cu (0.7301, 0.0593, 0.4018)
Cu (0.7957, 0.8081, 0.7967)
Cu (0.9302, 0.2526, 0.6059)
Au (0.1419, 0.4661, 0.7881)
Au (0.8581, 0.5339, 0.2119)

***

Stability verdict: B, ahead by 28.3 kJ/mol of atoms

***

A.
Material: Dy12Cu6Au
Method: DFT, GGA-PBE
State: relaxed

Symmetry: No. 148
Theoretical density in g/cm3: 8.8

Unit cell a=8.4667 b=8.4667 c=8.4667 alpha=108.87 beta=108.87 gamma=108.87
Atoms (fractional coordinates):
Dy (0.0021, 0.6905, 0.1295)
Dy (0.1295, 0.0021, 0.6905)
Dy (0.1565, 0.4681, 0.3740)
Dy (0.3095, 0.8705, 0.9979)
Dy (0.3740, 0.1565, 0.4681)
Dy (0.4681, 0.3740, 0.1565)
Dy (0.5319, 0.6260, 0.8435)
Dy (0.6260, 0.8435, 0.5319)
Dy (0.6905, 0.1295, 0.0021)
Dy (0.8435, 0.5319, 0.6260)
Dy (0.8705, 0.9979, 0.3095)
Dy (0.9979, 0.3095, 0.8705)
Cu (0.1625, 0.3380, 0.6448)
Cu (0.3380, 0.6448, 0.1625)
Cu (0.3552, 0.8375, 0.6620)
Cu (0.6448, 0.1625, 0.3380)
Cu (0.6620, 0.3552, 0.8375)
Cu (0.8375, 0.6620, 0.3552)
Au (0.0000, 0.0000, 0.0000)

***

B.
Material: Dy12Cu6Au
Method: DFT, GGA-PBE
State: relaxed

Symmetry: No. 204
Theoretical density in g/cm3: 9.0

Unit cell a=8.4494 b=8.4494 c=8.4494 alpha=109.47 beta=109.47 gamma=109.47
Atoms (fractional coordinates):
Dy (0.1039, 0.2920, 0.8119)
Dy (0.1881, 0.4802, 0.2920)
Dy (0.1881, 0.8961, 0.7080)
Dy (0.2920, 0.1881, 0.4802)
Dy (0.2920, 0.8119, 0.1039)
Dy (0.4802, 0.2920, 0.1881)
Dy (0.5198, 0.7080, 0.8119)
Dy (0.7080, 0.1881, 0.8961)
Dy (0.7080, 0.8119, 0.5198)
Dy (0.8119, 0.1039, 0.2920)
Dy (0.8119, 0.5198, 0.7080)
Dy (0.8961, 0.7080, 0.1881)
Cu (0.1252, 0.5000, 0.6252)
Cu (0.3748, 0.8748, 0.5000)
Cu (0.5000, 0.3748, 0.8748)
Cu (0.5000, 0.6252, 0.1252)
Cu (0.6252, 0.1252, 0.5000)
Cu (0.8748, 0.5000, 0.3748)
Au (0.0000, 0.0000, 0.0000)

***

Stability verdict: B, ahead by 14.4 kJ/mol of atoms

***

A.
Material: Dy4Cu2Au
Method: DFT, GGA-PBE
State: relaxed

Symmetry: No. 166
Theoretical density in g/cm3: 9.5

Unit cell a=8.5302 b=8.5302 c=8.5302 alpha=33.62 beta=33.62 gamma=33.62
Atoms (fractional coordinates):
Dy (0.1217, 0.1217, 0.1217)
Dy (0.3726, 0.3726, 0.3726)
Dy (0.6274, 0.6274, 0.6274)
Dy (0.8783, 0.8783, 0.8783)
Cu (0.2518, 0.2518, 0.2518)
Cu (0.7482, 0.7482, 0.7482)
Au (0.5000, 0.5000, 0.5000)

***

B.
Material: Dy4Cu2Au
Method: DFT, GGA-PBE
State: relaxed

Symmetry: No. 1
Theoretical density in g/cm3: 9.6

Unit cell a=6.9069 b=7.7119 c=7.7168 alpha=106.58 beta=109.04 gamma=107.15
Atoms (fractional coordinates):
Dy (0.0000, 0.0000, 0.0000)
Dy (0.0237, 0.4239, 0.8243)
Dy (0.3015, 0.8005, 0.7127)
Dy (0.3370, 0.5079, 0.2955)
Dy (0.4186, 0.1157, 0.4809)
Dy (0.6090, 0.5582, 0.9397)
Dy (0.7598, 0.3126, 0.2635)
Dy (0.8689, 0.9383, 0.4688)
Cu (0.0655, 0.7222, 0.2395)
Cu (0.1777, 0.3382, 0.5338)
Cu (0.3096, 0.1915, 0.8633)
Cu (0.6907, 0.1716, 0.8696)
Au (0.4328, 0.8406, 0.1314)
Au (0.7601, 0.6164, 0.6270)

***

Stability verdict: B, ahead by 2.0 kJ/mol of atoms

***

A.
Material: LaDyCuAu
Method: DFT, GGA-PBE
State: relaxed

Symmetry: No. 38
Theoretical density in g/cm3: 9.4

Unit cell a=4.6025 b=5.9316 c=5.9316 alpha=37.87 beta=90.00 gamma=90.00
Atoms (fractional coordinates):
La (0.0000, 0.0000, 0.0000)
Dy (0.5000, 0.7235, 0.7235)
Cu (0.5000, 0.4362, 0.4362)
Au (0.0000, 0.2795, 0.2795)

***

B.
Material: LaDyCuAu
Method: DFT, GGA-PBE
State: relaxed

Symmetry: No. 216
Theoretical density in g/cm3: 9.6

Unit cell a=5.1566 b=5.1566 c=5.1566 alpha=60.00 beta=60.00 gamma=60.00
Atoms (fractional coordinates):
La (0.0000, 0.0000, 0.0000)
Dy (0.5000, 0.5000, 0.5000)
Cu (0.2500, 0.2500, 0.2500)
Au (0.7500, 0.7500, 0.7500)

***

Stability verdict: A, ahead by 3.7 kJ/mol of atoms

***

A.
Material: PrDyCuAu
Method: DFT, GGA-PBE
State: relaxed

Symmetry: No. 38
Theoretical density in g/cm3: 9.6

Unit cell a=4.5844 b=5.8642 c=5.8642 alpha=38.31 beta=90.00 gamma=90.00
Atoms (fractional coordinates):
Pr (0.0000, 0.0000, 0.0000)
Dy (0.5000, 0.7219, 0.7219)
Cu (0.5000, 0.4353, 0.4353)
Au (0.0000, 0.2800, 0.2800)

***

B.
Material: PrDyCuAu
Method: DFT, GGA-PBE
State: relaxed

Symmetry: No. 216
Theoretical density in g/cm3: 9.8

Unit cell a=5.1253 b=5.1253 c=5.1253 alpha=60.00 beta=60.00 gamma=60.00
Atoms (fractional coordinates):
Pr (0.0000, 0.0000, 0.0000)
Dy (0.5000, 0.5000, 0.5000)
Cu (0.7500, 0.7500, 0.7500)
Au (0.2500, 0.2500, 0.2500)

***

Stability verdict: A, ahead by 3.6 kJ/mol of atoms

***

A.
Material: Er4CuAu3
Method: DFT, GGA-PBE
State: relaxed

Symmetry: No. 123
Theoretical density in g/cm3: 12.4

Unit cell a=3.5453 b=3.5453 c=14.1134 alpha=90.00 beta=90.00 gamma=90.00
Atoms (fractional coordinates):
Er (0.0000, 0.0000, 0.1187)
Er (0.0000, 0.0000, 0.3725)
Er (0.0000, 0.0000, 0.6275)
Er (0.0000, 0.0000, 0.8813)
Cu (0.5000, 0.5000, 0.0000)
Au (0.5000, 0.5000, 0.2448)
Au (0.5000, 0.5000, 0.5000)
Au (0.5000, 0.5000, 0.7552)

***

B.
Material: Er4CuAu3
Method: DFT, GGA-PBE
State: relaxed

Symmetry: No. 25
Theoretical density in g/cm3: 12.0

Unit cell a=3.6751 b=4.6186 c=10.8095 alpha=90.00 beta=90.00 gamma=90.00
Atoms (fractional coordinates):
Er (0.0000, 0.0000, 0.0000)
Er (0.0000, 0.5000, 0.2723)
Er (0.5000, 0.0000, 0.4904)
Er (0.5000, 0.5000, 0.7762)
Cu (0.5000, 0.0000, 0.2165)
Au (0.0000, 0.0000, 0.7246)
Au (0.0000, 0.5000, 0.5454)
Au (0.5000, 0.5000, 0.0554)

***

Stability verdict: B, ahead by 0.8 kJ/mol of atoms

***

A.
Material: PrErCuAu
Method: DFT, GGA-PBE
State: relaxed

Symmetry: No. 38
Theoretical density in g/cm3: 9.8

Unit cell a=4.5584 b=5.8630 c=5.8630 alpha=38.03 beta=90.00 gamma=90.00
Atoms (fractional coordinates):
Pr (0.0000, 0.0000, 0.0000)
Er (0.5000, 0.2784, 0.2784)
Cu (0.5000, 0.5653, 0.5653)
Au (0.0000, 0.7212, 0.7212)

***

B.
Material: PrErCuAu
Method: DFT, GGA-PBE
State: relaxed

Symmetry: No. 216
Theoretical density in g/cm3: 10.0

Unit cell a=5.1055 b=5.1055 c=5.1055 alpha=60.00 beta=60.00 gamma=60.00
Atoms (fractional coordinates):
Pr (0.0000, 0.0000, 0.0000)
Er (0.5000, 0.5000, 0.5000)
Cu (0.7500, 0.7500, 0.7500)
Au (0.2500, 0.2500, 0.2500)

***

Stability verdict: A, ahead by 3.4 kJ/mol of atoms

***

A.
Material: ErThCuAu
Method: DFT, GGA-PBE
State: relaxed

Symmetry: No. 216
Theoretical density in g/cm3: 11.7

Unit cell a=5.0945 b=5.0945 c=5.0945 alpha=60.00 beta=60.00 gamma=60.00
Atoms (fractional coordinates):
Er (0.0000, 0.0000, 0.0000)
Th (0.5000, 0.5000, 0.5000)
Cu (0.7500, 0.7500, 0.7500)
Au (0.2500, 0.2500, 0.2500)

***

B.
Material: ErThCuAu
Method: DFT, GGA-PBE
State: relaxed

Symmetry: No. 38
Theoretical density in g/cm3: 11.5

Unit cell a=4.4617 b=5.9093 c=5.9093 alpha=37.54 beta=90.00 gamma=90.00
Atoms (fractional coordinates):
Er (0.0000, 0.0000, 0.0000)
Th (0.5000, 0.7166, 0.7166)
Cu (0.0000, 0.2770, 0.2770)
Au (0.5000, 0.4381, 0.4381)

***

Stability verdict: B, ahead by 5.4 kJ/mol of atoms

***

A.
Material: EuCuAu2
Method: DFT, GGA-PBE
State: relaxed

Symmetry: No. 225
Theoretical density in g/cm3: 12.0

Unit cell a=4.9206 b=4.9206 c=4.9206 alpha=60.00 beta=60.00 gamma=60.00
Atoms (fractional coordinates):
Eu (0.0000, 0.0000, 0.0000)
Cu (0.5000, 0.5000, 0.5000)
Au (0.2500, 0.2500, 0.2500)
Au (0.7500, 0.7500, 0.7500)

***

B.
Material: EuCuAu2
Method: DFT, GGA-PBE
State: relaxed

Symmetry: No. 166
Theoretical density in g/cm3: 11.4

Unit cell a=5.6853 b=5.6853 c=5.6853 alpha=46.67 beta=46.67 gamma=46.67
Atoms (fractional coordinates):
Eu (0.0000, 0.0000, 0.0000)
Cu (0.5000, 0.5000, 0.5000)
Au (0.2112, 0.2112, 0.2112)
Au (0.7888, 0.7888, 0.7888)

***

Stability verdict: B, ahead by 12.7 kJ/mol of atoms

***

A.
Material: CuAuF5
Method: DFT, GGA-PBE
State: relaxed

Symmetry: No. 2
Theoretical density in g/cm3: 5.8

Unit cell a=3.8071 b=5.1608 c=5.5245 alpha=91.10 beta=98.28 gamma=107.80
Atoms (fractional coordinates):
Cu (0.0000, 0.0000, 0.0000)
Au (0.0000, 0.5000, 0.5000)
F (0.1205, 0.3445, 0.8162)
F (0.1814, 0.2324, 0.3300)
F (0.5000, 0.0000, 0.0000)
F (0.8186, 0.7676, 0.6700)
F (0.8795, 0.6555, 0.1838)

***

B.
Material: CuAuF5
Method: DFT, GGA-PBE
State: relaxed

Symmetry: No. 15
Theoretical density in g/cm3: 5.7

Unit cell a=5.5073 b=5.5073 c=6.8917 alpha=92.74 beta=92.74 gamma=97.17
Atoms (fractional coordinates):
Cu (0.0000, 0.0000, 0.0000)
Cu (0.0000, 0.0000, 0.5000)
Au (0.3708, 0.6292, 0.7500)
Au (0.6292, 0.3708, 0.2500)
F (0.0666, 0.6893, 0.5996)
F (0.0980, 0.9020, 0.2500)
F (0.3107, 0.9334, 0.9004)
F (0.3141, 0.3909, 0.1084)
F (0.3909, 0.3141, 0.6084)
F (0.6091, 0.6859, 0.3916)
F (0.6859, 0.6091, 0.8916)
F (0.6893, 0.0666, 0.0996)
F (0.9020, 0.0980, 0.7500)
F (0.9334, 0.3107, 0.4004)

***

Stability verdict: A, ahead by 4.6 kJ/mol of atoms

***

A.
Material: Cu2AuF
Method: DFT, GGA-PBE
State: relaxed

Symmetry: No. 225
Theoretical density in g/cm3: 10.4

Unit cell a=4.2639 b=4.2639 c=4.2639 alpha=60.00 beta=60.00 gamma=60.00
Atoms (fractional coordinates):
Cu (0.2500, 0.2500, 0.2500)
Cu (0.7500, 0.7500, 0.7500)
Au (0.0000, 0.0000, 0.0000)
F (0.5000, 0.5000, 0.5000)

***

B.
Material: Cu2AuF
Method: DFT, GGA-PBE
State: relaxed

Symmetry: No. 122
Theoretical density in g/cm3: 10.1

Unit cell a=5.2827 b=5.2827 c=5.2827 alpha=107.05 beta=107.05 gamma=114.43
Atoms (fractional coordinates):
Cu (0.0690, 0.6250, 0.9440)
Cu (0.3750, 0.3190, 0.4440)
Cu (0.6810, 0.1250, 0.0560)
Cu (0.8750, 0.9310, 0.5560)
Au (0.2500, 0.7500, 0.5000)
Au (0.5000, 0.5000, 0.0000)
F (0.0000, 0.0000, 0.0000)
F (0.7500, 0.2500, 0.5000)

***

Stability verdict: B, ahead by 9.4 kJ/mol of atoms

***

A.
Material: CuAuIF2
Method: DFT, GGA-PBE
State: relaxed

Symmetry: No. 123
Theoretical density in g/cm3: 7.6

Unit cell a=3.9251 b=3.9251 c=6.0527 alpha=90.00 beta=90.00 gamma=90.00
Atoms (fractional coordinates):
Cu (0.0000, 0.0000, 0.0000)
Au (0.0000, 0.0000, 0.5000)
I (0.5000, 0.5000, 0.5000)
F (0.0000, 0.5000, 0.0000)
F (0.5000, 0.0000, 0.0000)

***

B.
Material: CuAuIF2
Method: DFT, GGA-PBE
State: relaxed

Symmetry: No. 123
Theoretical density in g/cm3: 7.2

Unit cell a=3.9261 b=3.9261 c=6.3829 alpha=90.00 beta=90.00 gamma=90.00
Atoms (fractional coordinates):
Cu (0.0000, 0.0000, 0.0000)
Au (0.5000, 0.5000, 0.5000)
I (0.0000, 0.0000, 0.5000)
F (0.0000, 0.5000, 0.0000)
F (0.5000, 0.0000, 0.0000)

***

Stability verdict: A, ahead by 1.1 kJ/mol of atoms